A) Here is NaNp2I8 after structural relaxation from the Alexandria database. Energies are from PBE.

Properties
The calculation puts the size of the total moment at 0.636 μB/atom. The mass density comes out at 4.1 g/cm3.

Structure (CIF):
```
data_NaNp2I8
_chemical_formula_sum 'Na1 Np2 I8'
_space_group_name_H-M_alt 'P 1'
_space_group_IT_number 1
_space_group_name_Hall 'P 1'
_cell_length_a 6.170
_cell_length_b 10.145
_cell_length_c 10.145
_cell_angle_alpha 72.96
_cell_angle_beta 89.30
_cell_angle_gamma 89.30
loop_
_atom_site_label
_atom_site_type_symbol
_atom_site_fract_x
_atom_site_fract_y
_atom_site_fract_z
I1 I 0.251 0.292 0.916
I2 I 0.745 0.603 0.603
Np1 Np 0.744 0.781 0.781
I3 I 0.255 0.397 0.397
I4 I 0.762 0.215 0.215
I5 I 0.251 0.916 0.292
Np2 Np 0.256 0.219 0.219
I6 I 0.238 0.785 0.785
I7 I 0.749 0.708 0.084
I8 I 0.749 0.084 0.708
Na1 Na 0.000 0.000 0.000
```

***

B) Here is NaNp2I8 after structural relaxation from the Alexandria database. Energies are from PBE.

Properties
The calculation puts the size of the total moment at 0.636 μB/atom. The mass density comes out at 4.5 g/cm3.

Structure (CIF):
```
data_NaNp2I8
_chemical_formula_sum 'Na1 Np2 I8'
_space_group_name_H-M_alt 'P 1'
_space_group_IT_number 1
_space_group_name_Hall 'P 1'
_cell_length_a 6.202
_cell_length_b 10.160
_cell_length_c 10.160
_cell_angle_alpha 120.00
_cell_angle_beta 90.00
_cell_angle_gamma 90.00
loop_
_atom_site_label
_atom_site_type_symbol
_atom_site_fract_x
_atom_site_fract_y
_atom_site_fract_z
I1 I 0.254 0.168 0.834
I2 I 0.253 0.667 0.333
Np1 Np 0.235 0.333 0.667
I3 I 0.747 0.333 0.667
I4 I 0.746 0.334 0.168
Na1 Na 0.000 0.000 0.000
I5 I 0.746 0.832 0.166
I6 I 0.746 0.834 0.666
Np2 Np 0.765 0.667 0.333
I7 I 0.254 0.166 0.334
I8 I 0.254 0.666 0.832
```

***

Relative energy table, unit kJ/mol of atoms: A) 0.0; B) 0.5

***

A) Here is NaI2O2 after structural relaxation from the Alexandria database. Energies are from PBE.

Properties
The calculation puts the size of the total moment at 0.608 μB/atom. The mass density comes out at 3.5 g/cm3.

Structure (CIF):
```
data_NaI2O2
_chemical_formula_sum 'Na1 I2 O2'
_space_group_name_H-M_alt 'P 1'
_space_group_IT_number 1
_space_group_name_Hall 'P 1'
_cell_length_a 4.606
_cell_length_b 4.606
_cell_length_c 6.935
_cell_angle_alpha 90.00
_cell_angle_beta 90.00
_cell_angle_gamma 90.00
loop_
_atom_site_label
_atom_site_type_symbol
_atom_site_fract_x
_atom_site_fract_y
_atom_site_fract_z
O1 O 0.500 0.000 0.000
I1 I 0.000 0.000 0.500
Na1 Na 0.000 0.000 0.000
O2 O 0.000 0.500 0.000
I2 I 0.500 0.500 0.500
```

***

B) Here is NaI2O2 after structural relaxation from the Alexandria database. Energies are from PBE.

Properties
The calculation puts the size of the total moment at 0.120 μB/atom. The mass density comes out at 4.9 g/cm3.

Structure (CIF):
```
data_NaI2O2
_chemical_formula_sum 'Na1 I2 O2'
_space_group_name_H-M_alt 'P 1'
_space_group_IT_number 1
_space_group_name_Hall 'P 1'
_cell_length_a 4.924
_cell_length_b 4.924
_cell_length_c 4.300
_cell_angle_alpha 90.00
_cell_angle_beta 90.00
_cell_angle_gamma 90.00
loop_
_atom_site_label
_atom_site_type_symbol
_atom_site_fract_x
_atom_site_fract_y
_atom_site_fract_z
O1 O 0.000 0.000 0.500
Na1 Na 0.500 0.500 0.500
O2 O 0.000 0.000 0.000
I1 I 0.000 0.500 0.000
I2 I 0.500 0.000 0.000
```

***

C) Here is NaI2O2 after structural relaxation from the Alexandria database. Energies are from PBE.

Properties
The calculation puts the size of the total moment at 0.000 μB/atom. The mass density comes out at 3.7 g/cm3.

Structure (CIF):
```
data_NaI2O2
_chemical_formula_sum 'Na1 I2 O2'
_space_group_name_H-M_alt 'P 1'
_space_group_IT_number 1
_space_group_name_Hall 'P 1'
_cell_length_a 4.143
_cell_length_b 4.143
_cell_length_c 7.988
_cell_angle_alpha 90.00
_cell_angle_beta 90.00
_cell_angle_gamma 90.00
loop_
_atom_site_label
_atom_site_type_symbol
_atom_site_fract_x
_atom_site_fract_y
_atom_site_fract_z
Na1 Na 0.500 0.500 0.500
O1 O 0.500 0.000 0.000
I1 I 0.000 0.000 0.000
O2 O 0.000 0.500 0.000
I2 I 0.000 0.000 0.500
```

***

Relative energy table, unit kJ/mol of atoms: A) 75.0; B) 61.1; C) 0.0

***

A) Here is NaIO4 after structural relaxation from the Alexandria database. Energies are from PBE.

Properties
The calculation puts the size of the total moment at 0.000 μB/atom. The mass density comes out at 4.4 g/cm3.

Structure (CIF):
```
data_NaIO4
_chemical_formula_sum 'Na2 I2 O8'
_space_group_name_H-M_alt 'P 1'
_space_group_IT_number 1
_space_group_name_Hall 'P 1'
_cell_length_a 4.984
_cell_length_b 5.554
_cell_length_c 6.059
_cell_angle_alpha 106.47
_cell_angle_beta 90.00
_cell_angle_gamma 90.00
loop_
_atom_site_label
_atom_site_type_symbol
_atom_site_fract_x
_atom_site_fract_y
_atom_site_fract_z
O1 O 0.749 0.210 0.872
O2 O 0.249 0.290 0.128
I1 I 0.000 0.000 0.000
I2 I 0.500 0.500 0.000
Na1 Na 0.500 0.000 0.500
Na2 Na 0.000 0.500 0.500
O3 O 0.647 0.593 0.284
O4 O 0.853 0.093 0.284
O5 O 0.251 0.790 0.128
O6 O 0.147 0.907 0.716
O7 O 0.751 0.710 0.872
O8 O 0.353 0.407 0.716
```

***

B) Here is NaIO4 after structural relaxation from the Alexandria database. Energies are from PBE.

Properties
The calculation puts the size of the total moment at 0.337 μB/atom. The mass density comes out at 3.2 g/cm3.

Structure (CIF):
```
data_NaIO4
_chemical_formula_sum 'Na2 I2 O8'
_space_group_name_H-M_alt 'P 1'
_space_group_IT_number 1
_space_group_name_Hall 'P 1'
_cell_length_a 7.030
_cell_length_b 7.030
_cell_length_c 8.918
_cell_angle_alpha 69.18
_cell_angle_beta 69.18
_cell_angle_gamma 32.46
loop_
_atom_site_label
_atom_site_type_symbol
_atom_site_fract_x
_atom_site_fract_y
_atom_site_fract_z
O1 O 0.027 0.586 0.091
O2 O 0.120 0.439 0.618
O3 O 0.561 0.880 0.382
O4 O 0.414 0.973 0.909
Na1 Na 0.850 0.399 0.092
Na2 Na 0.601 0.150 0.908
I1 I 0.298 0.036 0.726
O5 O 0.746 0.128 0.193
O6 O 0.351 0.876 0.260
I2 I 0.964 0.702 0.274
O7 O 0.872 0.254 0.807
O8 O 0.124 0.649 0.740
```

***

C) Here is NaIO4 after structural relaxation from the Alexandria database. Energies are from PBE.

Properties
The calculation puts the size of the total moment at 0.257 μB/atom. The mass density comes out at 3.0 g/cm3.

Structure (CIF):
```
data_NaIO4
_chemical_formula_sum 'Na2 I2 O8'
_space_group_name_H-M_alt 'P 1'
_space_group_IT_number 1
_space_group_name_Hall 'P 1'
_cell_length_a 8.742
_cell_length_b 8.707
_cell_length_c 6.303
_cell_angle_alpha 113.34
_cell_angle_beta 113.94
_cell_angle_gamma 120.89
loop_
_atom_site_label
_atom_site_type_symbol
_atom_site_fract_x
_atom_site_fract_y
_atom_site_fract_z
O1 O 0.557 0.708 0.658
O2 O 0.821 0.480 0.052
O3 O 0.982 0.323 0.558
O4 O 0.793 0.944 0.851
I1 I 0.413 0.085 0.747
O5 O 0.018 0.677 0.442
O6 O 0.207 0.056 0.149
Na1 Na 0.925 0.575 0.749
O7 O 0.443 0.292 0.342
I2 I 0.587 0.915 0.253
Na2 Na 0.075 0.425 0.251
O8 O 0.179 0.520 0.948
```

***

D) Here is NaIO4 after structural relaxation from the Alexandria database. Energies are from PBE.

Properties
The calculation puts the size of the total moment at 0.000 μB/atom. The mass density comes out at 4.0 g/cm3.

Structure (CIF):
```
data_NaIO4
_chemical_formula_sum 'Na2 I2 O8'
_space_group_name_H-M_alt 'P 1'
_space_group_IT_number 1
_space_group_name_Hall 'P 1'
_cell_length_a 7.199
_cell_length_b 7.199
_cell_length_c 7.199
_cell_angle_alpha 135.73
_cell_angle_beta 135.73
_cell_angle_gamma 64.40
loop_
_atom_site_label
_atom_site_type_symbol
_atom_site_fract_x
_atom_site_fract_y
_atom_site_fract_z
I1 I 0.750 0.250 0.500
O1 O 0.684 0.771 0.615
O2 O 0.229 0.845 0.914
O3 O 0.931 0.316 0.086
O4 O 0.066 0.479 0.885
Na1 Na 0.250 0.750 0.500
O5 O 0.521 0.405 0.586
I2 I 0.000 0.000 0.000
Na2 Na 0.500 0.500 0.000
O6 O 0.595 0.181 0.115
O7 O 0.819 0.934 0.414
O8 O 0.155 0.069 0.385
```

***

Relative energy table, unit kJ/mol of atoms: A) 1.3; B) 32.5; C) 28.9; D) 0.0

***

A) Here is NaI2O6 after structural relaxation from the Alexandria database. Energies are from PBE.

Properties
The calculation puts the size of the total moment at 0.000 μB/atom. The mass density comes out at 3.5 g/cm3.

Structure (CIF):
```
data_NaI2O6
_chemical_formula_sum 'Na2 I4 O12'
_space_group_name_H-M_alt 'P 1'
_space_group_IT_number 1
_space_group_name_Hall 'P 1'
_cell_length_a 5.377
_cell_length_b 5.753
_cell_length_c 14.849
_cell_angle_alpha 51.29
_cell_angle_beta 90.00
_cell_angle_gamma 90.00
loop_
_atom_site_label
_atom_site_type_symbol
_atom_site_fract_x
_atom_site_fract_y
_atom_site_fract_z
O1 O 0.016 0.113 0.316
I1 I 0.272 0.488 0.753
I2 I 0.228 0.988 0.253
O2 O 0.633 0.269 0.395
Na1 Na 0.000 0.000 0.500
O3 O 0.563 0.866 0.190
O4 O 0.063 0.634 0.310
O5 O 0.367 0.731 0.605
O6 O 0.984 0.887 0.684
O7 O 0.937 0.366 0.690
O8 O 0.437 0.134 0.810
O9 O 0.484 0.613 0.816
I3 I 0.728 0.512 0.247
I4 I 0.772 0.012 0.747
O10 O 0.133 0.231 0.105
O11 O 0.867 0.769 0.895
Na2 Na 0.500 0.500 0.000
O12 O 0.516 0.387 0.184
```

***

B) Here is NaI2O6 after structural relaxation from the Alexandria database. Energies are from PBE.

Properties
The calculation puts the size of the total moment at 0.000 μB/atom. The mass density comes out at 4.1 g/cm3.

Structure (CIF):
```
data_NaI2O6
_chemical_formula_sum 'Na1 I2 O6'
_space_group_name_H-M_alt 'P 1'
_space_group_IT_number 1
_space_group_name_Hall 'P 1'
_cell_length_a 3.954
_cell_length_b 5.663
_cell_length_c 7.611
_cell_angle_alpha 71.89
_cell_angle_beta 74.94
_cell_angle_gamma 69.57
loop_
_atom_site_label
_atom_site_type_symbol
_atom_site_fract_x
_atom_site_fract_y
_atom_site_fract_z
O1 O 0.967 0.856 0.211
O2 O 0.335 0.722 0.608
O3 O 0.691 0.720 0.898
O4 O 0.033 0.144 0.789
I1 I 0.186 0.793 0.836
Na1 Na 0.000 0.500 0.500
O5 O 0.665 0.278 0.392
O6 O 0.309 0.280 0.102
I2 I 0.814 0.207 0.164
```

***

Relative energy table, unit kJ/mol of atoms: A) 3.7; B) 0.0